Record 1
Density functional theory data (PBEsol) for a geometry-optimized MgCuPO2 structure.

Summary:
- Energy relative to the lowest polymorph listed for this composition: 0.195 eV per atom
- E_tot: -4.38 eV/atom
- Uncorrected formation energy: 90 meV/atom
- Total magnetic moment: 2.22 μB per cell

```
data_MgCuPO2
_chemical_formula_sum 'Mg1 Cu1 P1 O2'
_cell_length_a 3.6886
_cell_length_b 3.6886
_cell_length_c 5.3487
_cell_angle_alpha 90.00
_cell_angle_beta 90.00
_cell_angle_gamma 90.00
_space_group_name_H-M_alt 'P 1'
_space_group_IT_number 1
loop_
_space_group_symop_operation_xyz
'x,y,z'
loop_
_atom_site_label
_atom_site_type_symbol
_atom_site_fract_x
_atom_site_fract_y
_atom_site_fract_z
_atom_site_occupancy
P1 P 0.0000 0.0000 0.5000 1
Mg1 Mg 0.0000 0.0000 0.0000 1
O1 O 0.0000 0.5000 0.0000 1
O2 O 0.5000 0.0000 0.0000 1
Cu1 Cu 0.5000 0.5000 0.5000 1
```

---

Record 2
Density functional theory data (PBEsol) for a geometry-optimized TaTlNi2 structure.

Summary:
- ΔE_f: 431 meV per atom
- Energy relative to the lowest polymorph listed for this composition: 0.450 eV per atom
- E_tot: -6.44 eV/atom
- Total magnetic moment: 0.00 μB per cell

```
data_TaTlNi2
_chemical_formula_sum 'Ta1 Tl1 Ni2'
_cell_length_a 2.9577
_cell_length_b 2.9577
_cell_length_c 8.4330
_cell_angle_alpha 79.90
_cell_angle_beta 79.90
_cell_angle_gamma 60.00
_space_group_name_H-M_alt 'P 1'
_space_group_IT_number 1
loop_
_space_group_symop_operation_xyz
'x,y,z'
loop_
_atom_site_label
_atom_site_type_symbol
_atom_site_fract_x
_atom_site_fract_y
_atom_site_fract_z
_atom_site_occupancy
Ni1 Ni 0.0076 0.0076 0.9773 1
Ni2 Ni 0.7455 0.7455 0.7636 1
Ta1 Ta 0.4882 0.4882 0.5353 1
Tl1 Tl 0.2587 0.2587 0.2239 1
```

---

Record 3
Density functional theory data (PBEsol) for a geometry-optimized LiRe2Se structure.

Summary:
- E_tot: -7.42 eV/atom
- Uncorrected formation energy: 700 meV/atom
- Total magnetic moment: 0.00 μB per cell

```
data_LiRe2Se
_chemical_formula_sum 'Li1 Re2 Se1'
_cell_length_a 3.0762
_cell_length_b 4.1593
_cell_length_c 4.1593
_cell_angle_alpha 90.00
_cell_angle_beta 90.00
_cell_angle_gamma 90.00
_space_group_name_H-M_alt 'P 1'
_space_group_IT_number 1
loop_
_space_group_symop_operation_xyz
'x,y,z'
loop_
_atom_site_label
_atom_site_type_symbol
_atom_site_fract_x
_atom_site_fract_y
_atom_site_fract_z
_atom_site_occupancy
Li1 Li 0.5000 0.0000 0.0000 1
Re1 Re 0.0000 0.0000 0.5000 1
Re2 Re 0.0000 0.5000 0.0000 1
Se1 Se 0.5000 0.5000 0.5000 1
```

---

Record 4
Density functional theory data (PBEsol) for a geometry-optimized LiMn2Te structure.

Summary:
- E_tot: -6.10 eV/atom
- Uncorrected formation energy: 155 meV/atom
- Total magnetic moment: 5.75 μB per cell

```
data_LiMn2Te
_chemical_formula_sum 'Li1 Mn2 Te1'
_cell_length_a 3.7941
_cell_length_b 3.7941
_cell_length_c 4.0192
_cell_angle_alpha 90.00
_cell_angle_beta 90.00
_cell_angle_gamma 90.00
_space_group_name_H-M_alt 'P 1'
_space_group_IT_number 1
loop_
_space_group_symop_operation_xyz
'x,y,z'
loop_
_atom_site_label
_atom_site_type_symbol
_atom_site_fract_x
_atom_site_fract_y
_atom_site_fract_z
_atom_site_occupancy
Li1 Li 0.0000 0.0000 0.5000 1
Mn1 Mn 0.0000 0.5000 0.0000 1
Mn2 Mn 0.5000 0.0000 0.0000 1
Te1 Te 0.5000 0.5000 0.5000 1
```

---

Record 5
Density functional theory data (PBEsol) for a geometry-optimized YCrNi2I structure.

Summary:
- E_tot: -5.48 eV/atom
- Uncorrected formation energy: 748 meV/atom
- Total magnetic moment: 2.30 μB per cell

```
data_YCrNi2I
_chemical_formula_sum 'Y1 Cr1 Ni2 I1'
_cell_length_a 4.3579
_cell_length_b 4.3579
_cell_length_c 5.3396
_cell_angle_alpha 90.00
_cell_angle_beta 90.00
_cell_angle_gamma 90.00
_space_group_name_H-M_alt 'P 1'
_space_group_IT_number 1
loop_
_space_group_symop_operation_xyz
'x,y,z'
loop_
_atom_site_label
_atom_site_type_symbol
_atom_site_fract_x
_atom_site_fract_y
_atom_site_fract_z
_atom_site_occupancy
I1 I 0.5000 0.5000 0.5000 1
Y1 Y 0.0000 0.0000 0.5000 1
Cr1 Cr 0.0000 0.0000 0.0000 1
Ni1 Ni 0.0000 0.5000 0.0000 1
Ni2 Ni 0.5000 0.0000 0.0000 1
```

---

Record 6
Density functional theory data (PBEsol) for a geometry-optimized LaSnPt structure.

Summary:
- ΔE_f: -1089 meV per atom
- E_tot: -6.61 eV/atom
- Total magnetic moment: 0.00 μB per cell

```
data_LaSnPt
_chemical_formula_sum 'La3 Sn3 Pt3'
_cell_length_a 4.1589
_cell_length_b 7.5895
_cell_length_c 7.5895
_cell_angle_alpha 120.00
_cell_angle_beta 90.00
_cell_angle_gamma 90.00
_space_group_name_H-M_alt 'P 1'
_space_group_IT_number 1
loop_
_space_group_symop_operation_xyz
'x,y,z'
loop_
_atom_site_label
_atom_site_type_symbol
_atom_site_fract_x
_atom_site_fract_y
_atom_site_fract_z
_atom_site_occupancy
La1 La 0.0000 0.5859 0.0000 1
La2 La 0.0000 0.4141 0.4141 1
La3 La 0.0000 0.0000 0.5859 1
Sn1 Sn 0.5000 0.0000 0.2496 1
Sn2 Sn 0.5000 0.2496 0.0000 1
Sn3 Sn 0.5000 0.7504 0.7504 1
Pt1 Pt 0.5000 0.6667 0.3333 1
Pt2 Pt 0.0000 0.0000 0.0000 1
Pt3 Pt 0.5000 0.3333 0.6667 1
```

---

Record 7
Density functional theory data (PBEsol) for a geometry-optimized KLiTl2 structure.

Summary:
- ΔE_f: -99 meV per atom
- Energy relative to the lowest polymorph listed for this composition: 0.054 eV per atom
- E_tot: -2.19 eV/atom
- Total magnetic moment: 0.00 μB per cell

```
data_KLiTl2
_chemical_formula_sum 'K1 Li1 Tl2'
_cell_length_a 3.3700
_cell_length_b 4.8096
_cell_length_c 7.3062
_cell_angle_alpha 90.00
_cell_angle_beta 91.61
_cell_angle_gamma 90.00
_space_group_name_H-M_alt 'P 1'
_space_group_IT_number 1
loop_
_space_group_symop_operation_xyz
'x,y,z'
loop_
_atom_site_label
_atom_site_type_symbol
_atom_site_fract_x
_atom_site_fract_y
_atom_site_fract_z
_atom_site_occupancy
Tl1 Tl 0.8758 0.0000 0.9439 1
Tl2 Tl 0.8736 0.5000 0.2063 1
K1 K 0.3910 0.0000 0.4788 1
Li1 Li 0.3596 0.5000 0.8710 1
```

---

Record 8
Density functional theory data (PBEsol) for a geometry-optimized TaRe2Ag structure.

Summary:
- ΔE_f: 384 meV per atom
- Energy relative to the lowest polymorph listed for this composition: 0.000 eV per atom
- E_tot: -10.25 eV/atom
- Total magnetic moment: 0.00 μB per cell

```
data_TaRe2Ag
_chemical_formula_sum 'Ta1 Re2 Ag1'
_cell_length_a 3.1566
_cell_length_b 4.4515
_cell_length_c 5.2735
_cell_angle_alpha 114.96
_cell_angle_beta 107.41
_cell_angle_gamma 90.00
_space_group_name_H-M_alt 'P 1'
_space_group_IT_number 1
loop_
_space_group_symop_operation_xyz
'x,y,z'
loop_
_atom_site_label
_atom_site_type_symbol
_atom_site_fract_x
_atom_site_fract_y
_atom_site_fract_z
_atom_site_occupancy
Re1 Re 0.7632 0.7632 0.5263 1
Re2 Re 0.2368 0.2368 0.4737 1
Ag1 Ag 0.0000 0.5000 0.0000 1
Ta1 Ta 0.5000 0.0000 0.0000 1
```

---

Record 9
Density functional theory data (PBEsol) for a geometry-optimized HgBi3Ru structure.

Summary:
- ΔE_f: 437 meV per atom
- E_tot: -4.28 eV/atom
- Total magnetic moment: 0.00 μB per cell

```
data_HgBi3Ru
_chemical_formula_sum 'Hg1 Bi3 Ru1'
_cell_length_a 5.2389
_cell_length_b 5.2389
_cell_length_c 5.2389
_cell_angle_alpha 90.00
_cell_angle_beta 90.00
_cell_angle_gamma 90.00
_space_group_name_H-M_alt 'P 1'
_space_group_IT_number 1
loop_
_space_group_symop_operation_xyz
'x,y,z'
loop_
_atom_site_label
_atom_site_type_symbol
_atom_site_fract_x
_atom_site_fract_y
_atom_site_fract_z
_atom_site_occupancy
Ru1 Ru 0.0000 0.0000 0.0000 1
Bi1 Bi 0.0000 0.5000 0.0000 1
Bi2 Bi 0.0000 0.0000 0.5000 1
Bi3 Bi 0.5000 0.0000 0.0000 1
Hg1 Hg 0.5000 0.5000 0.5000 1
```

---

Record 10
Density functional theory data (PBEsol) for a geometry-optimized AgSnTe2 structure.

Summary:
- E_tot: -3.51 eV/atom
- Uncorrected formation energy: 141 meV/atom
- Total magnetic moment: 0.00 μB per cell

```
data_AgSnTe2
_chemical_formula_sum 'Ag1 Sn1 Te2'
_cell_length_a 3.3208
_cell_length_b 3.3208
_cell_length_c 11.1123
_cell_angle_alpha 81.41
_cell_angle_beta 81.41
_cell_angle_gamma 60.00
_space_group_name_H-M_alt 'P 1'
_space_group_IT_number 1
loop_
_space_group_symop_operation_xyz
'x,y,z'
loop_
_atom_site_label
_atom_site_type_symbol
_atom_site_fract_x
_atom_site_fract_y
_atom_site_fract_z
_atom_site_occupancy
Te1 Te 0.9029 0.9029 0.2912 1
Te2 Te 0.0971 0.0971 0.7088 1
Sn1 Sn 0.0000 0.0000 0.0000 1
Ag1 Ag 0.5000 0.5000 0.5000 1
```

---

Record 11
Density functional theory data (PBEsol) for a geometry-optimized DyZrRu2 structure.

Summary:
- ΔE_f: -454 meV per atom
- E_tot: -9.06 eV/atom
- Total magnetic moment: 0.00 μB per cell

```
data_DyZrRu2
_chemical_formula_sum 'Dy1 Zr1 Ru2'
_cell_length_a 4.6396
_cell_length_b 4.6396
_cell_length_c 4.6396
_cell_angle_alpha 60.00
_cell_angle_beta 60.00
_cell_angle_gamma 60.00
_space_group_name_H-M_alt 'P 1'
_space_group_IT_number 1
loop_
_space_group_symop_operation_xyz
'x,y,z'
loop_
_atom_site_label
_atom_site_type_symbol
_atom_site_fract_x
_atom_site_fract_y
_atom_site_fract_z
_atom_site_occupancy
Ru1 Ru 0.2500 0.2500 0.2500 1
Ru2 Ru 0.7500 0.7500 0.7500 1
Zr1 Zr 0.0000 0.0000 0.0000 1
Dy1 Dy 0.5000 0.5000 0.5000 1
```

---

Record 12
Density functional theory data (PBEsol) for a geometry-optimized Sc4Co4Ge7 structure.

Summary:
- ΔE_f: -712 meV per atom
- E_tot: -6.84 eV/atom
- Total magnetic moment: 0.00 μB per cell

```
data_Sc4Co4Ge7
_chemical_formula_sum 'Sc8 Co8 Ge14'
_cell_length_a 5.1500
_cell_length_b 9.6032
_cell_length_c 9.6032
_cell_angle_alpha 85.88
_cell_angle_beta 74.45
_cell_angle_gamma 74.45
_space_group_name_H-M_alt 'P 1'
_space_group_IT_number 1
loop_
_space_group_symop_operation_xyz
'x,y,z'
loop_
_atom_site_label
_atom_site_type_symbol
_atom_site_fract_x
_atom_site_fract_y
_atom_site_fract_z
_atom_site_occupancy
Sc1 Sc 0.8597 0.2807 0.0000 1
Sc2 Sc 0.1403 0.7193 0.0000 1
Sc3 Sc 0.1403 0.0000 0.7193 1
Sc4 Sc 0.8597 0.0000 0.2807 1
Sc5 Sc 0.5000 0.1956 0.8044 1
Sc6 Sc 0.5000 0.8044 0.1956 1
Sc7 Sc 0.6956 0.8044 0.8044 1
Sc8 Sc 0.3044 0.1956 0.1956 1
Co1 Co 0.1018 0.7964 0.5000 1
Co2 Co 0.3982 0.2036 0.5000 1
Co3 Co 0.3982 0.5000 0.2036 1
Co4 Co 0.1018 0.5000 0.7964 1
Co5 Co 0.8982 0.5000 0.2036 1
Co6 Co 0.6018 0.5000 0.7964 1
Co7 Co 0.6018 0.7964 0.5000 1
Co8 Co 0.8982 0.2036 0.5000 1
Ge1 Ge 0.7070 0.5860 0.0000 1
Ge2 Ge 0.2930 0.4140 0.0000 1
Ge3 Ge 0.2930 0.0000 0.4140 1
Ge4 Ge 0.7070 0.0000 0.5860 1
Ge5 Ge 0.0000 0.2914 0.7086 1
Ge6 Ge 0.0000 0.7086 0.2914 1
Ge7 Ge 0.2914 0.7086 0.7086 1
Ge8 Ge 0.7086 0.2914 0.2914 1
Ge9 Ge 0.5000 0.4059 0.5941 1
Ge10 Ge 0.5000 0.5941 0.4059 1
Ge11 Ge 0.9059 0.5941 0.5941 1
Ge12 Ge 0.0941 0.4059 0.4059 1
Ge13 Ge 0.7497 0.0000 0.0000 1
Ge14 Ge 0.2503 0.0000 0.0000 1
```

---

> Look up the E_tot of the eighth one.

-10.25 eV/atom

---

Copy entry 3 word for word.
Density functional theory data (PBEsol) for a geometry-optimized LiRe2Se structure.

Summary:
- E_tot: -7.42 eV/atom
- Uncorrected formation energy: 700 meV/atom
- Total magnetic moment: 0.00 μB per cell

```
data_LiRe2Se
_chemical_formula_sum 'Li1 Re2 Se1'
_cell_length_a 3.0762
_cell_length_b 4.1593
_cell_length_c 4.1593
_cell_angle_alpha 90.00
_cell_angle_beta 90.00
_cell_angle_gamma 90.00
_space_group_name_H-M_alt 'P 1'
_space_group_IT_number 1
loop_
_space_group_symop_operation_xyz
'x,y,z'
loop_
_atom_site_label
_atom_site_type_symbol
_atom_site_fract_x
_atom_site_fract_y
_atom_site_fract_z
_atom_site_occupancy
Li1 Li 0.5000 0.0000 0.0000 1
Re1 Re 0.0000 0.0000 0.5000 1
Re2 Re 0.0000 0.5000 0.0000 1
Se1 Se 0.5000 0.5000 0.5000 1
```